No. 1
Material: Rb2PSe5
Method: DFT, PBE
State: optimized geometry

Calculated total energy = -3.646 eV per atom
D(E_F) = 1.73 states/eV/f.u.
M_tot = 0.00 μB/cell
Formation energy without anion corrections = -53 kJ per mole of atoms

a = 6.425 Å, b = 7.129 Å, c = 7.215 Å
α = 109.43°, β = 95.58°, γ = 100.02°
Space group P1 (No. 1)
Inequivalent atoms, fractional coordinates:
Rb: 0.000 0.000 0.000
Rb: 0.485 0.224 0.568
P: 0.524 0.558 0.174
Se: 0.323 0.634 0.409
Se: 0.483 0.694 0.949
Se: 0.543 0.237 0.077
Se: 0.860 0.694 0.404
Se: 0.942 0.046 0.508

***

No. 2
Material: Mg10In6Hg
Method: DFT, PBE
State: optimized geometry

Calculated total energy = -1.988 eV per atom
D(E_F) = 9.25 states/eV/f.u.
M_tot = 0.00 μB/cell
Formation energy = -1.1 eV/f.u.

a = 8.6675 Å, b = 8.6675 Å, c = 6.2034 Å
α = 90.00°, β = 90.00°, γ = 120.00°
Space group P-31m (No. 162)
Inequivalent atoms, fractional coordinates:
Mg: 0.0000 0.2636 0.2924
Mg: 0.3333 0.6667 0.0000
Mg: 0.3333 0.6667 0.5000
In: 0.0000 0.3874 0.7652
Hg: 0.0000 0.0000 0.0000

***

No. 3
Material: SnBNO2
Method: DFT, PBE
State: optimized geometry

Calculated total energy = -4.782 eV per atom
D(E_F) = 0.82 states/eV/f.u.
M_tot = 2.00 μB/cell
Formation energy without anion corrections = 97 kJ per mole of atoms

a = 4.061 Å, b = 4.061 Å, c = 4.275 Å
α = 90.00°, β = 90.00°, γ = 90.00°
Space group P4/mmm (No. 123)
Inequivalent atoms, fractional coordinates:
Sn: 0.000 0.000 0.000
B: 0.500 0.500 0.500
N: 0.000 0.000 0.500
O: 0.000 0.500 0.000

***

No. 4
Material: Li3PaCr2Te6
Method: DFT, PBE
State: optimized geometry

Calculated total energy = -5.084 eV per atom
D(E_F) = 4.49 states/eV/f.u.
M_tot = 16.01 μB/cell
Formation energy without anion corrections = -62 kJ per mole of atoms

a = 7.127 Å, b = 12.325 Å, c = 7.376 Å
α = 90.00°, β = 108.69°, γ = 90.00°
Space group C2/m (No. 12)
Inequivalent atoms, fractional coordinates:
Li: 0.000 0.000 0.000
Li: 0.000 0.341 0.000
Pa: 0.000 0.500 0.500
Cr: 0.000 0.167 0.500
Te: 0.225 0.000 0.740
Te: 0.243 0.177 0.259

***

No. 5
Material: US2BrO8
Method: DFT, PBE
State: optimized geometry

Calculated total energy = -6.675 eV per atom
D(E_F) = 5.86 states/eV/f.u.
M_tot = 1.00 μB/cell
Formation energy without anion corrections = -155 kJ per mole of atoms

a = 6.0333 Å, b = 6.0333 Å, c = 5.9555 Å
α = 90.00°, β = 90.00°, γ = 120.00°
Space group P-3m1 (No. 164)
Inequivalent atoms, fractional coordinates:
U: 0.0000 0.0000 0.0000
S: 0.3333 0.6667 0.7666
Br: 0.0000 0.0000 0.5000
O: 0.2008 0.4016 0.8650
O: 0.3333 0.6667 0.5266

***

No. 6
Material: SmIn2ReO8
Method: DFT, PBE
State: optimized geometry

Calculated total energy = -7.075 eV per atom
M_tot = 0.00 μB/cell
Formation energy without anion corrections = -182 kJ per mole of atoms

a = 7.007 Å, b = 7.072 Å, c = 6.682 Å
α = 90.00°, β = 90.00°, γ = 90.00°
Space group Cmmm (No. 65)
Inequivalent atoms, fractional coordinates:
Sm: 0.000 0.000 0.000
In: 0.000 0.500 0.251
Re: 0.000 0.000 0.500
O: 0.000 0.184 0.297
O: 0.186 0.500 0.000
O: 0.220 0.500 0.500

***

No. 7
Material: Cs2NaVH6
Method: DFT, PBE
State: optimized geometry

Calculated total energy = -3.336 eV per atom
D(E_F) = 9.09 states/eV/f.u.
M_tot = 2.00 μB/cell

a = 6.3558 Å, b = 6.3558 Å, c = 5.7002 Å
α = 90.00°, β = 90.00°, γ = 120.00°
Space group P-3m1 (No. 164)
Inequivalent atoms, fractional coordinates:
Cs: 0.3333 0.6667 0.2108
Na: 0.0000 0.0000 0.5000
V: 0.0000 0.0000 0.0000
H: 0.1333 0.2666 0.8115

***

No. 8
Material: NaPaP2O8
Method: DFT, PBE
State: optimized geometry

Calculated total energy = -7.712 eV per atom
D(E_F) = 0.00 states/eV/f.u.
M_tot = 0.00 μB/cell
Formation energy without anion corrections = -251 kJ per mole of atoms

a = 5.4651 Å, b = 5.4651 Å, c = 7.1436 Å
α = 90.00°, β = 90.00°, γ = 120.00°
Space group P-3m1 (No. 164)
Inequivalent atoms, fractional coordinates:
Na: 0.0000 0.0000 0.0000
Pa: 0.0000 0.0000 0.5000
P: 0.3333 0.6667 0.7766
O: 0.1805 0.3610 0.6871
O: 0.3333 0.6667 0.9843

***

No. 9
Material: CsIO3
Method: DFT, PBE
State: optimized geometry

Calculated total energy = -2.434 eV per atom
D(E_F) = 5.76 states/eV/f.u.
M_tot = 1.88 μB/cell
Formation energy without anion corrections = 99 kJ per mole of atoms

a = 4.512 Å, b = 4.512 Å, c = 4.512 Å
α = 90.00°, β = 90.00°, γ = 90.00°
Space group Pm-3m (No. 221)
Inequivalent atoms, fractional coordinates:
Cs: 0.000 0.000 0.000
I: 0.500 0.500 0.500
O: 0.000 0.000 0.500

***

No. 10
Material: BPS2
Method: DFT, PBE
State: optimized geometry

Calculated total energy = -4.659 eV per atom
D(E_F) = 0.75 states/eV/f.u.
M_tot = 0.00 μB/cell
Formation energy without anion corrections = 41 kJ per mole of atoms

a = 5.603 Å, b = 5.603 Å, c = 7.861 Å
α = 90.00°, β = 90.00°, γ = 90.00°
Space group I-42d (No. 122)
Inequivalent atoms, fractional coordinates:
B: 0.000 0.000 0.000
P: 0.000 0.000 0.500
S: 0.169 0.250 0.125

***

No. 11
Material: Nb3GeOs
Method: DFT, PBE
State: optimized geometry

Calculated total energy = -8.198 eV per atom
D(E_F) = 7.18 states/eV/f.u.
M_tot = 0.00 μB/cell
Formation energy = 5.1 eV/f.u.

a = 4.856 Å, b = 4.856 Å, c = 4.856 Å
α = 90.00°, β = 90.00°, γ = 90.00°
Space group Pm-3m (No. 221)
Inequivalent atoms, fractional coordinates:
Nb: 0.000 0.000 0.500
Ge: 0.500 0.500 0.500
Os: 0.000 0.000 0.000

***

No. 12
Material: ThScP2
Method: DFT, PBE
State: optimized geometry

Calculated total energy = -7.639 eV per atom
D(E_F) = 1.69 states/eV/f.u.
M_tot = 0.00 μB/cell
Formation energy = -6.0 eV/f.u.

a = 3.9920 Å, b = 3.9920 Å, c = 19.1011 Å
α = 90.00°, β = 90.00°, γ = 120.00°
Space group R-3m (No. 166, hexagonal axes)
Inequivalent atoms, fractional coordinates:
Th: 0.0000 0.0000 0.0000
Sc: 0.0000 0.0000 0.5000
P: 0.0000 0.0000 0.2420